## Ce5PuCo (PBE)

Data for a relaxed structure of Ce5PuCo.

Structure (CIF):
```
data_Ce5PuCo
_space_group_name_H-M_alt 'C 1 2/c 1'
_space_group_IT_number 15
_space_group_name_Hall '-C 2yc'
_cell_length_a 9.621
_cell_length_b 7.383
_cell_length_c 10.604
_cell_angle_alpha 90.00
_cell_angle_beta 116.38
_cell_angle_gamma 90.00
loop_
_atom_site_label
_atom_site_type_symbol
_atom_site_fract_x
_atom_site_fract_y
_atom_site_fract_z
Ce1 Ce 0.000 0.205 0.250
Ce2 Ce 0.110 0.378 0.627
Ce3 Ce 0.191 0.058 0.047
Pu1 Pu 0.250 0.250 0.500
Co1 Co 0.000 0.178 0.750
```

=====

## CePuCo (PBE)

Data for a relaxed structure of CePuCo.

Structure (CIF):
```
data_CePuCo
_space_group_name_H-M_alt 'P 1 21/m 1'
_space_group_IT_number 11
_space_group_name_Hall '-P 2yb'
_cell_length_a 4.423
_cell_length_b 4.397
_cell_length_c 6.718
_cell_angle_alpha 90.00
_cell_angle_beta 90.11
_cell_angle_gamma 90.00
loop_
_atom_site_label
_atom_site_type_symbol
_atom_site_fract_x
_atom_site_fract_y
_atom_site_fract_z
Ce1 Ce 0.249 0.250 0.381
Pu1 Pu 0.250 0.750 0.010
Co1 Co 0.251 0.250 0.708
```

=====

## CePuCo4 (PBE)

Data for a relaxed structure of CePuCo4.

Structure (CIF):
```
data_CePuCo4
_space_group_name_H-M_alt 'F -4 3 m'
_space_group_IT_number 216
_space_group_name_Hall 'F -4 2 3'
_cell_length_a 7.065
_cell_length_b 7.065
_cell_length_c 7.065
_cell_angle_alpha 90.00
_cell_angle_beta 90.00
_cell_angle_gamma 90.00
loop_
_atom_site_label
_atom_site_type_symbol
_atom_site_fract_x
_atom_site_fract_y
_atom_site_fract_z
Ce1 Ce 0.000 0.000 0.000
Pu1 Pu 0.250 0.250 0.750
Co1 Co 0.124 0.124 0.376
```

=====

## CePuCo2 (PBE)

Data for a relaxed structure of CePuCo2.

Structure (CIF):
```
data_CePuCo2
_space_group_name_H-M_alt 'F m -3 m'
_space_group_IT_number 225
_space_group_name_Hall '-F 4 2 3'
_cell_length_a 6.662
_cell_length_b 6.662
_cell_length_c 6.662
_cell_angle_alpha 90.00
_cell_angle_beta 90.00
_cell_angle_gamma 90.00
loop_
_atom_site_label
_atom_site_type_symbol
_atom_site_fract_x
_atom_site_fract_y
_atom_site_fract_z
Ce1 Ce 0.000 0.000 0.000
Pu1 Pu 0.000 0.000 0.500
Co1 Co 0.250 0.250 0.250
```

=====

## CePuCo (PBE)

Data for a relaxed structure of CePuCo.

Structure (CIF):
```
data_CePuCo
_space_group_name_H-M_alt 'P -1'
_space_group_IT_number 2
_space_group_name_Hall '-P 1'
_cell_length_a 3.603
_cell_length_b 6.272
_cell_length_c 6.696
_cell_angle_alpha 117.38
_cell_angle_beta 104.71
_cell_angle_gamma 91.38
loop_
_atom_site_label
_atom_site_type_symbol
_atom_site_fract_x
_atom_site_fract_y
_atom_site_fract_z
Ce1 Ce 0.211 0.212 0.423
Pu1 Pu 0.424 0.241 0.000
Co1 Co 0.123 0.624 0.247
```

=====

## Ce2PuCo2 (PBE)

Data for a relaxed structure of Ce2PuCo2.

Structure (CIF):
```
data_Ce2PuCo2
_space_group_name_H-M_alt 'C 1 2/m 1'
_space_group_IT_number 12
_space_group_name_Hall '-C 2y'
_cell_length_a 13.210
_cell_length_b 4.227
_cell_length_c 3.694
_cell_angle_alpha 90.00
_cell_angle_beta 90.77
_cell_angle_gamma 90.00
loop_
_atom_site_label
_atom_site_type_symbol
_atom_site_fract_x
_atom_site_fract_y
_atom_site_fract_z
Ce1 Ce 0.142 0.000 0.003
Pu1 Pu 0.000 0.500 0.500
Co1 Co 0.188 0.500 0.504
```

=====

## CePuCo (PBE)

Data for a relaxed structure of CePuCo.

Structure (CIF):
```
data_CePuCo
_space_group_name_H-M_alt 'P -1'
_space_group_IT_number 2
_space_group_name_Hall '-P 1'
_cell_length_a 4.605
_cell_length_b 5.332
_cell_length_c 5.985
_cell_angle_alpha 87.69
_cell_angle_beta 67.40
_cell_angle_gamma 64.54
loop_
_atom_site_label
_atom_site_type_symbol
_atom_site_fract_x
_atom_site_fract_y
_atom_site_fract_z
Ce1 Ce 0.233 0.337 0.198
Pu1 Pu 0.126 0.019 0.729
Co1 Co 0.497 0.344 0.663
```

=====

## CePuCo2 (PBE)

Data for a relaxed structure of CePuCo2.

Structure (CIF):
```
data_CePuCo2
_space_group_name_H-M_alt 'R -3 m'
_space_group_IT_number 166
_space_group_name_Hall '-R 3 2"'
_cell_length_a 4.2278
_cell_length_b 4.2278
_cell_length_c 14.6940
_cell_angle_alpha 90.00
_cell_angle_beta 90.00
_cell_angle_gamma 120.00
loop_
_atom_site_label
_atom_site_type_symbol
_atom_site_fract_x
_atom_site_fract_y
_atom_site_fract_z
Ce1 Ce 0.0000 0.0000 0.0000
Pu1 Pu 0.0000 0.0000 0.5000
Co1 Co 0.0000 0.0000 0.2175
```

=====

## Ce2PuCo (PBE)

Data for a relaxed structure of Ce2PuCo.

Structure (CIF):
```
data_Ce2PuCo
_space_group_name_H-M_alt 'P 4/m m m'
_space_group_IT_number 123
_space_group_name_Hall '-P 4 2'
_cell_length_a 3.383
_cell_length_b 3.383
_cell_length_c 7.694
_cell_angle_alpha 90.00
_cell_angle_beta 90.00
_cell_angle_gamma 90.00
loop_
_atom_site_label
_atom_site_type_symbol
_atom_site_fract_x
_atom_site_fract_y
_atom_site_fract_z
Ce1 Ce 0.000 0.000 0.210
Pu1 Pu 0.500 0.500 0.500
Co1 Co 0.500 0.500 0.000
```

=====

## CePuCo (PBE)

Data for a relaxed structure of CePuCo.

Structure (CIF):
```
data_CePuCo
_space_group_name_H-M_alt 'I 4 m m'
_space_group_IT_number 107
_space_group_name_Hall 'I 4 -2'
_cell_length_a 3.436
_cell_length_b 3.436
_cell_length_c 9.913
_cell_angle_alpha 90.00
_cell_angle_beta 90.00
_cell_angle_gamma 90.00
loop_
_atom_site_label
_atom_site_type_symbol
_atom_site_fract_x
_atom_site_fract_y
_atom_site_fract_z
Ce1 Ce 0.000 0.000 0.000
Pu1 Pu 0.000 0.000 0.309
Co1 Co 0.000 0.000 0.657
```

=====

## Ce8Pu2Co (PBE)

Data for a relaxed structure of Ce8Pu2Co.

Structure (CIF):
```
data_Ce8Pu2Co
_space_group_name_H-M_alt 'P -3 m 1'
_space_group_IT_number 164
_space_group_name_Hall '-P 3 2"'
_cell_length_a 6.9586
_cell_length_b 6.9586
_cell_length_c 6.7681
_cell_angle_alpha 90.00
_cell_angle_beta 90.00
_cell_angle_gamma 120.00
loop_
_atom_site_label
_atom_site_type_symbol
_atom_site_fract_x
_atom_site_fract_y
_atom_site_fract_z
Ce1 Ce 0.1620 0.3239 0.2286
Ce2 Ce 0.3333 0.6667 0.5434
Pu1 Pu 0.3333 0.6667 0.9818
Co1 Co 0.0000 0.0000 0.5000
```

=====

## Ce8PuCo2 (PBE)

Data for a relaxed structure of Ce8PuCo2.

Structure (CIF):
```
data_Ce8PuCo2
_space_group_name_H-M_alt 'C 1 m 1'
_space_group_IT_number 8
_space_group_name_Hall 'C -2y'
_cell_length_a 8.967
_cell_length_b 16.872
_cell_length_c 3.467
_cell_angle_alpha 90.00
_cell_angle_beta 90.00
_cell_angle_gamma 90.00
loop_
_atom_site_label
_atom_site_type_symbol
_atom_site_fract_x
_atom_site_fract_y
_atom_site_fract_z
Ce1 Ce 0.000 0.000 0.000
Ce2 Ce 0.042 0.349 0.523
Ce3 Ce 0.206 0.190 0.997
Ce4 Ce 0.362 0.349 0.525
Ce5 Ce 0.403 0.000 0.002
Pu1 Pu 0.202 0.500 0.267
Co1 Co 0.200 0.081 0.505
```

=====

Number 1: ΔE_f 58 meV/atom, density of states at the Fermi level 1.8508 states/eV per atom. Number 2: ΔE_f -76 meV/atom, density of states at the Fermi level 2.4736 states/eV per atom. Number 3: ΔE_f -189 meV/atom, density of states at the Fermi level 2.5286 states/eV per atom. Number 4: ΔE_f -18 meV/atom, density of states at the Fermi level 2.4113 states/eV per atom. Number 5: ΔE_f -52 meV/atom, density of states at the Fermi level 2.8503 states/eV per atom. Number 6: ΔE_f -112 meV/atom, density of states at the Fermi level 2.1059 states/eV per atom. Number 7: ΔE_f -63 meV/atom, density of states at the Fermi level 2.4841 states/eV per atom. Number 8: ΔE_f -82 meV/atom, density of states at the Fermi level 1.7926 states/eV per atom. Number 9: ΔE_f 12 meV/atom, density of states at the Fermi level 2.4954 states/eV per atom. Number 10: ΔE_f -22 meV/atom, density of states at the Fermi level 2.6985 states/eV per atom. Number 11: ΔE_f 48 meV/atom, density of states at the Fermi level 1.9970 states/eV per atom. Number 12: ΔE_f -19 meV/atom, density of states at the Fermi level 2.6309 states/eV per atom.